one) A geometry-optimized CrPbF3 structure. Source: the Alexandria database, functional PBE+U.

Unit cell a=6.397 b=7.736 c=7.240 alpha=100.82 beta=90.00 gamma=90.00
Last column: magnetic moment on the atom in μB.
Fractional positions:
F: 0.598 0.837 0.440  0.01
F: 0.394 0.932 0.827  0.01
F: 0.902 0.837 0.940  0.01
F: 0.894 0.068 0.673  0.01
F: 0.634 0.309 0.926  0.00
F: 0.098 0.163 0.060  0.01
F: 0.606 0.068 0.173  0.01
F: 0.402 0.163 0.560  0.01
F: 0.134 0.691 0.574  0.00
F: 0.866 0.309 0.426  0.00
F: 0.106 0.932 0.327  0.01
F: 0.366 0.691 0.074  0.00
Cr: 0.748 0.065 0.423  3.81
Cr: 0.248 0.935 0.077  3.81
Cr: 0.252 0.935 0.577  3.81
Cr: 0.752 0.065 0.923  3.81
Pb: 0.874 0.534 0.791  0.01
Pb: 0.126 0.466 0.209  0.01
Pb: 0.626 0.534 0.291  0.01
Pb: 0.374 0.466 0.709  0.01

## Properties
SG = No. 14



two) A geometry-optimized CrPbF3 structure. Source: the Alexandria database, functional PBE+U.

Unit cell a=4.283 b=4.283 c=4.283 alpha=90.00 beta=90.00 gamma=90.00
Last column: magnetic moment on the atom in μB.
Fractional positions:
F: 0.000 0.000 0.500  0.00
F: 0.000 0.500 0.000  0.00
F: 0.500 0.000 0.000  -0.02
Cr: 0.000 0.000 0.000  3.95
Pb: 0.500 0.500 0.500  -0.06

## Properties
SG = No. 221



The structure with the greatest stability is one).



one) A geometry-optimized CrPb2F structure. Source: the Alexandria database, functional PBE+U.

Unit cell a=5.205 b=5.205 c=8.936 alpha=73.07 beta=73.07 gamma=90.00
Last column: magnetic moment on the atom in μB.
Fractional positions:
Pb: 0.197 0.625 0.250  -0.03
Pb: 0.875 0.803 0.750  -0.05
Pb: 0.375 0.447 0.750  -0.05
Pb: 0.553 0.125 0.250  -0.03
Cr: 0.750 0.250 0.500  4.35
Cr: 0.000 0.000 0.000  4.35
F: 0.250 0.750 0.500  0.03
F: 0.500 0.500 0.000  0.03

## Properties
SG = No. 122



two) A geometry-optimized CrPb2F structure. Source: the Alexandria database, functional PBE+U.

Unit cell a=4.989 b=4.989 c=4.989 alpha=60.00 beta=60.00 gamma=60.00
Last column: magnetic moment on the atom in μB.
Fractional positions:
Pb: 0.250 0.250 0.250  -0.05
Pb: 0.750 0.750 0.750  -0.05
Cr: 0.500 0.500 0.500  4.20
F: 0.000 0.000 0.000  0.02

## Properties
SG = No. 225



The structure with the greatest stability is two).



one) A geometry-optimized CrPd2F structure. Source: the Alexandria database, functional PBE+U.

Unit cell a=6.911 b=6.911 c=5.547 alpha=51.47 beta=51.47 gamma=90.00
Last column: magnetic moment on the atom in μB.
Fractional positions:
F: 0.250 0.750 0.500  0.01
F: 0.500 0.500 0.000  0.01
Pd: 0.162 0.625 0.250  -0.17
Pd: 0.875 0.838 0.750  -0.13
Pd: 0.375 0.412 0.750  -0.12
Pd: 0.588 0.125 0.250  -0.16
Cr: 0.000 0.000 0.000  3.95
Cr: 0.750 0.250 0.500  3.95

## Properties
SG = No. 122



two) A geometry-optimized CrPd2F structure. Source: the Alexandria database, functional PBE+U.

Unit cell a=4.241 b=4.241 c=4.241 alpha=60.00 beta=60.00 gamma=60.00
Fractional positions:
Pd: 0.750 0.750 0.750
Pd: 0.250 0.250 0.250
F: 0.000 0.000 0.000
Cr: 0.500 0.500 0.500

## Properties
SG = No. 225



The structure with the greatest stability is one).



one) A geometry-optimized PmCrF6 structure. Source: the Alexandria database, functional PBE+U.

Unit cell a=4.922 b=4.921 c=5.184 alpha=96.35 beta=96.35 gamma=111.60
Last column: magnetic moment on the atom in μB.
Fractional positions:
Cr: 0.500 0.500 0.500  2.94
F: 0.769 0.769 0.312  0.00
F: 0.231 0.231 0.688  0.00
F: 0.528 0.841 0.752  0.00
F: 0.159 0.472 0.248  0.00
F: 0.841 0.528 0.752  0.00
F: 0.472 0.159 0.248  0.00
Pm: 0.000 0.000 0.000  0.00

## Properties
SG = No. 12



two) A geometry-optimized PmCrF6 structure. Source: the Alexandria database, functional PBE+U.

Unit cell a=5.554 b=5.565 c=5.878 alpha=61.90 beta=61.92 gamma=60.12
Last column: magnetic moment on the atom in μB.
Fractional positions:
F: 0.333 0.772 0.770  0.00
F: 0.667 0.228 0.230  0.00
F: 0.876 0.666 0.231  0.00
F: 0.772 0.123 0.770  0.00
F: 0.124 0.334 0.769  0.00
F: 0.228 0.877 0.230  0.00
Cr: 0.000 0.000 0.000  2.93
Pm: 0.500 0.500 0.500  0.00

## Properties
SG = No. 2



The structure with the greatest stability is two).



one) A geometry-optimized PmCr2F8 structure. Source: the Alexandria database, functional PBE+U.

Unit cell a=5.244 b=5.936 c=5.936 alpha=56.97 beta=96.88 gamma=96.88
Last column: magnetic moment on the atom in μB.
Fractional positions:
F: 0.279 0.911 0.380  0.00
F: 0.279 0.861 0.861  0.01
F: 0.721 0.620 0.089  0.00
F: 0.721 0.139 0.139  0.01
F: 0.721 0.089 0.620  0.00
F: 0.753 0.610 0.610  0.03
F: 0.279 0.380 0.911  0.00
F: 0.247 0.390 0.390  0.03
Cr: 0.513 0.729 0.729  2.43
Cr: 0.487 0.271 0.271  2.43
Pm: 0.000 0.000 0.000  0.00

## Properties
SG = No. 12



two) A geometry-optimized PmCr2F8 structure. Source: the Alexandria database, functional PBE+U.

Unit cell a=4.211 b=7.244 c=6.565 alpha=125.60 beta=106.66 gamma=74.20
Last column: magnetic moment on the atom in μB.
Fractional positions:
F: 0.907 0.392 0.249  0.00
F: 0.384 0.125 0.902  0.00
F: 0.838 0.889 0.578  0.00
F: 0.272 0.610 0.164  -0.02
F: 0.162 0.111 0.422  0.00
F: 0.728 0.390 0.836  -0.02
F: 0.616 0.875 0.098  0.00
F: 0.093 0.608 0.751  0.00
Cr: 0.225 0.346 0.783  3.42
Cr: 0.775 0.654 0.217  3.42
Pm: 0.000 0.000 0.000  0.01

## Properties
SG = No. 2



The structure with the greatest stability is two).



one) A geometry-optimized CrPt2F structure. Source: the Alexandria database, functional PBE+U.

Unit cell a=7.602 b=7.602 c=5.859 alpha=49.55 beta=49.55 gamma=90.00
Last column: magnetic moment on the atom in μB.
Fractional positions:
Pt: 0.875 0.829 0.750  -0.41
Pt: 0.375 0.421 0.750  -0.41
Pt: 0.579 0.125 0.250  -0.41
Pt: 0.171 0.625 0.250  -0.41
Cr: 0.750 0.250 0.500  3.70
Cr: 0.000 0.000 0.000  3.70
F: 0.500 0.500 0.000  -0.07
F: 0.250 0.750 0.500  -0.07

## Properties
SG = No. 122



two) A geometry-optimized CrPt2F structure. Source: the Alexandria database, functional PBE+U.

Unit cell a=4.335 b=4.335 c=4.335 alpha=60.00 beta=60.00 gamma=60.00
Last column: magnetic moment on the atom in μB.
Fractional positions:
Pt: 0.250 0.250 0.250  -0.24
Pt: 0.750 0.750 0.750  -0.24
F: 0.000 0.000 0.000  -0.01
Cr: 0.500 0.500 0.500  3.37

## Properties
SG = No. 225



The structure with the greatest stability is two).